[1]
VASP calculation (PBE-GGA) on a geometry-optimized Li2HfAl structure.

The space group is F-43m (No. 216) and the conventional cell measures 6.494, 6.494 and 6.494 Å, with angles of 90.00, 90.00 and 90.00 degrees. The distinct sites, in fractional coordinates, are Li at (0.000, 0.000, 0.000), Li at (0.250, 0.250, 0.250), Hf at (0.250, 0.250, 0.750) and Al at (0.000, 0.000, 0.500).

[2]
VASP calculation (PBE-GGA) on a geometry-optimized NaPaSb structure.

The space group is F-43m (No. 216) and the conventional cell measures 7.321, 7.321 and 7.321 Å, with angles of 90.00, 90.00 and 90.00 degrees. The distinct sites, in fractional coordinates, are Na at (0.000, 0.000, 0.000), Pa at (0.250, 0.250, 0.250) and Sb at (0.000, 0.000, 0.500).

The calculation puts the energy above the most stable polymorph in this dataset at 269 meV per atom.

[3]
VASP calculation (PBE-GGA) on a geometry-optimized GeB3Pt2 structure.

The space group is Pm (No. 6) and the conventional cell measures 4.225, 3.963 and 5.117 Å, with angles of 90.00, 101.97 and 90.00 degrees. The distinct sites, in fractional coordinates, are Ge at (0.000, 0.000, 0.000), B at (0.306, 0.500, 0.604), B at (0.562, 0.500, 0.910), B at (0.775, 0.000, 0.429), Pt at (0.439, 0.000, 0.685) and Pt at (0.876, 0.500, 0.292).

[4]
VASP calculation (PBE-GGA) on a geometry-optimized NpNiW structure.

The space group is F-43m (No. 216) and the conventional cell measures 6.006, 6.006 and 6.006 Å, with angles of 90.00, 90.00 and 90.00 degrees. The distinct sites, in fractional coordinates, are Np at (0.000, 0.000, 0.000), Ni at (0.250, 0.250, 0.750) and W at (0.000, 0.000, 0.500).

The calculation puts the energy above the most stable polymorph in this dataset at 0 meV per atom. Its formation energy is 0.786 eV per atom.

In eV/atom, the E values for the records above are, in order, -4.31, -4.45, -5.77, -9.65.